Crystalline Pm4AgHg at its relaxed geometry, computed with PBE.

POSCAR file:
```
Pm4AgHg
1.0
5.156 0.000 -0.002
0.000 5.157 -0.003
0.003 0.005 7.427
Pm Hg Ag
4 1 1
direct
0.001 0.497 0.744
0.001 0.497 0.253
0.501 0.997 0.253
0.501 0.998 0.744
0.501 0.497 0.998
0.001 0.997 0.498
```

## Properties
Energy of formation from the pure elements = -6.7 meV/atom
Spin magnetization = 0.1987 μB per atom
Density of states at the Fermi level = 1.765 states/eV per atom
Distance to the lowest polymorph of the same formula = 221.4 meV per atom
Total DFT energy (no corrections) = -22.2 eV per cell
Space-group type = P4/mmm, No. 123